Entry from Alexandria via LeMat-Bulk: a relaxed TbSc5Cd4 crystal (GGA-PBE).

a = 3.486 Å, b = 3.486 Å, c = 19.283 Å
α = 90.00°, β = 90.00°, γ = 90.00°
Fractional positions:
Sc 0.500 0.500 0.878
Cd 0.000 0.000 0.217
Tb 0.000 0.000 0.000
Cd 0.000 0.000 0.405
Cd 0.000 0.000 0.595
Cd 0.000 0.000 0.783
Sc 0.500 0.500 0.688
Sc 0.500 0.500 0.500
Sc 0.500 0.500 0.122
Sc 0.500 0.500 0.312

Summary:
crystal system = tetragonal
ρ = 5.9 g/cm3
spin magnetization = 0.0000 μB/atom
energy relative to the elements = -21 kJ/mol of atoms